Record 1
Computed, not measured: a relaxed structure of AlTlAg2Te4 at the PBE level of DFT.

```
AlTlAg2Te4
1.0
-3.251 3.251 6.305
3.251 -3.251 6.305
3.251 3.251 -6.305
Ag Al Te Tl
2 1 4 1
Direct
0.500 0.500 0.000
0.750 0.250 0.500
0.000 0.000 0.000
0.364 0.885 0.017
0.115 0.131 0.479
0.652 0.636 0.521
0.869 0.348 0.983
0.250 0.750 0.500
```

Summary:
The space group is I-4 (82). The electronic total energy is -26.285 eV/cell.

=====

Record 2
Computed, not measured: a relaxed structure of AlTl2Ag4 at the PBE level of DFT.

```
AlTl2Ag4
1.0
5.632 0.000 0.000
0.000 5.632 0.000
0.000 0.000 4.708
Ag Al Tl
4 1 2
Direct
0.250 0.250 0.492
0.750 0.750 0.492
0.750 0.250 0.508
0.250 0.750 0.508
0.000 0.000 0.000
0.500 0.000 0.000
0.000 0.500 0.000
```

Summary:
The space group is P-42m (111). The electronic total energy is -18.377 eV/cell.

=====

Record 3
Computed, not measured: a relaxed structure of AlTl2Ag at the PBE level of DFT.

```
AlTl2Ag
1.0
0.000 3.640 3.640
3.640 0.000 3.640
3.640 3.640 0.000
Ag Al Tl
1 1 2
Direct
0.250 0.250 0.250
0.500 0.500 0.500
0.000 0.000 0.000
0.750 0.750 0.750
```

Summary:
The space group is F-43m (216). The electronic total energy is -10.200 eV/cell.

=====

Record 4
Computed, not measured: a relaxed structure of TmAl4Ag8 at the PBE level of DFT.

```
TmAl4Ag8
1.0
-0.118 -4.491 5.469
-4.877 3.430 -3.814
2.194 -4.522 -4.983
Ag Al Tm
8 4 1
Direct
0.716 0.500 0.216
0.500 0.716 0.216
0.000 0.341 0.341
0.341 0.000 0.341
0.000 0.659 0.659
0.659 0.000 0.659
0.500 0.284 0.784
0.284 0.500 0.784
0.500 0.000 0.000
0.000 0.500 0.000
0.000 0.000 0.500
0.500 0.500 0.500
0.000 0.000 0.000
```

Summary:
The total magnetization comes out at 0.00 μB per atom. The space group is I4/mmm (139). The electronic total energy is -44.582 eV/cell.

=====

Record 5
Computed, not measured: a relaxed structure of Y2TmAl7Ag2 at the PBE level of DFT.

```
Y2TmAl7Ag2
1.0
2.767 1.598 8.763
-2.767 1.598 8.763
0.000 -3.195 8.763
Ag Al Tm Y
2 7 1 2
Direct
0.336 0.336 0.336
0.664 0.664 0.664
0.587 0.587 0.076
0.924 0.413 0.413
0.413 0.924 0.413
0.500 0.500 0.500
0.587 0.076 0.587
0.076 0.587 0.587
0.413 0.413 0.924
0.000 0.000 0.000
0.142 0.142 0.142
0.858 0.858 0.858
```

Summary:
The total magnetization comes out at 0.00 μB per atom. The space group is R-3m (166). The electronic total energy is -54.593 eV/cell.

=====

Record 6
Computed, not measured: a relaxed structure of AlAgW2 at the PBE level of DFT.

```
AlAgW2
1.0
-0.153 0.685 4.446
-3.645 1.870 1.865
-2.740 -2.483 2.567
Ag Al W
1 1 2
Direct
0.250 0.250 0.250
0.500 0.500 0.500
0.000 0.000 0.000
0.750 0.750 0.750
```

Summary:
The total magnetization comes out at 0.00 μB per atom. The space group is F-43m (216). The electronic total energy is -30.855 eV/cell.